Entry 1:
Computed, not measured: a crystal of Ce8GePd24 relaxed with PBEsol at the meta-GGA SCAN level of DFT.

The formation energy is -0.822 eV per atom.

It has space group Pm-3m (No. 221), with a = 8.2894 Å, b = 8.2894 Å, c = 8.2894 Å, α = 90.00°, β = 90.00° and γ = 90.00°. Symmetry generates all atoms from Ce at (0.2490, 0.2490, 0.2490), Ge at (0.0000, 0.0000, 0.0000), Pd at (0.0000, 0.0000, 0.2992), Pd at (0.0000, 0.2624, 0.5000) and Pd at (0.2537, 0.5000, 0.5000).



Entry 2:
Computed, not measured: a crystal of YAgSbTe2 relaxed with PBEsol at the meta-GGA SCAN level of DFT.

The value obtained for the calculated total energy is -33.97 eV/atom.

It has space group P4/mmm (No. 123), with a = 5.7031 Å, b = 5.7031 Å, c = 5.7078 Å, α = 90.00°, β = 90.00° and γ = 90.00°. Symmetry generates all atoms from Y at (0.0000, 0.0000, 0.0000), Ag at (0.5000, 0.5000, 0.5000), Sb at (0.0000, 0.0000, 0.5000) and Te at (0.0000, 0.5000, 0.0000).



Entry 3:
Computed, not measured: a crystal of Ca12Be17O29 relaxed with PBEsol at the meta-GGA SCAN level of DFT.

The value obtained for the calculated total energy is -9.48 eV/atom.

It has space group F-43m (No. 216), with a = 13.9495 Å, b = 13.9495 Å, c = 13.9495 Å, α = 90.00°, β = 90.00° and γ = 90.00°. Symmetry generates all atoms from Ca at (0.0000, 0.0000, 0.2061), Ca at (0.0041, 0.2500, 0.2500), Be at (0.0000, 0.0000, 0.0000), Be at (0.1375, 0.1375, 0.1375), Be at (0.1565, 0.1565, 0.6565), Be at (0.1583, 0.1583, 0.3417), Be at (0.1741, 0.1741, 0.8259), O at (0.0690, 0.0690, 0.0690), O at (0.1129, 0.1129, 0.7493), O at (0.1138, 0.1138, 0.2506) and O at (0.2500, 0.2500, 0.7500).



Entry 4:
Computed, not measured: a crystal of YSb2RhI relaxed with PBEsol at the meta-GGA SCAN level of DFT.

The value obtained for the calculated total energy is -33.78 eV/atom.

It has space group P4/mmm (No. 123), with a = 5.6874 Å, b = 5.6874 Å, c = 5.6347 Å, α = 90.00°, β = 90.00° and γ = 90.00°. Symmetry generates all atoms from Y at (0.0000, 0.0000, 0.0000), Sb at (0.0000, 0.5000, 0.0000), Rh at (0.5000, 0.5000, 0.5000) and I at (0.0000, 0.0000, 0.5000).



Entry 5:
Computed, not measured: a crystal of Ca4IrW relaxed with PBEsol at the meta-GGA SCAN level of DFT.

The formation energy is 1.422 eV per atom.

It has space group F-43m (No. 216), with a = 8.2338 Å, b = 8.2338 Å, c = 8.2338 Å, α = 90.00°, β = 90.00° and γ = 90.00°. Symmetry generates all atoms from Ca at (0.1244, 0.1244, 0.3756), Ir at (0.2500, 0.2500, 0.7500) and W at (0.0000, 0.0000, 0.0000).



Entry 6:
Computed, not measured: a crystal of CdAg2Rh relaxed with PBEsol at the meta-GGA SCAN level of DFT.

The formation energy is 0.012 eV per atom.

It has space group P4/mmm (No. 123), with a = 3.9350 Å, b = 3.9350 Å, c = 4.1850 Å, α = 90.00°, β = 90.00° and γ = 90.00°. Symmetry generates all atoms from Cd at (0.0000, 0.0000, 0.0000), Ag at (0.0000, 0.5000, 0.5000) and Rh at (0.5000, 0.5000, 0.0000).



Entry 7:
Computed, not measured: a crystal of CrCoNO2 relaxed with PBEsol at the meta-GGA SCAN level of DFT.

The value obtained for the calculated total energy is -11.73 eV/atom.

It has space group P4/mmm (No. 123), with a = 3.7322 Å, b = 3.7322 Å, c = 3.4072 Å, α = 90.00°, β = 90.00° and γ = 90.00°. Symmetry generates all atoms from Cr at (0.0000, 0.0000, 0.0000), Co at (0.5000, 0.5000, 0.5000), N at (0.5000, 0.5000, 0.0000) and O at (0.0000, 0.5000, 0.5000).



Entry 8:
Computed, not measured: a crystal of K2PdC4N4 relaxed with PBEsol at the meta-GGA SCAN level of DFT.

The value obtained for the calculated total energy is -11.73 eV/atom.

It has space group P2_1/c (No. 14), with a = 4.2938 Å, b = 7.7634 Å, c = 13.3865 Å, α = 90.00°, β = 92.44° and γ = 90.00°. Symmetry generates all atoms from K at (0.2177, 0.0462, 0.3445), Pd at (0.5000, 0.0000, 0.0000), C at (0.3409, 0.6216, 0.6158), C at (0.3475, 0.2213, 0.0496), N at (0.2520, 0.6991, 0.6844) and N at (0.2606, 0.1437, 0.5765).